1.
Computed, not measured: an optimized crystal structure of Dy2YHo4Mg at the PBE level of DFT.

a b c (Å): 4.9407 4.9506 11.1072
angles (deg): 63.50 90.00 90.00
With the nearest neighbours (Å) after each atom.
Element x y z (fractional)
Dy 0.0000 0.0000 0.0000  8 Ho 3.49, 4 Mg 3.50
Dy 0.5000 0.0000 0.5000  4 Y 3.50, 8 Ho 3.52-3.53
Y 0.0000 0.5000 0.5000  4 Dy 3.50, 8 Ho 3.52-3.53
Ho 0.0000 0.7475 0.7524  2 Mg 3.49, 4 Dy 3.49-3.52, 4 Ho 3.50, 2 Y 3.52-3.53
Ho 0.0000 0.2525 0.2476  2 Mg 3.49, 4 Dy 3.49-3.52, 4 Ho 3.50, 2 Y 3.52-3.53
Ho 0.5000 0.7522 0.2475  4 Dy 3.49-3.53, 2 Mg 3.49, 4 Ho 3.50, 2 Y 3.52
Ho 0.5000 0.2478 0.7525  4 Dy 3.49-3.53, 2 Mg 3.49, 4 Ho 3.50, 2 Y 3.52
Mg 0.5000 0.5000 0.0000  8 Ho 3.49, 4 Dy 3.50

Output
E   -4.422 eV/atom
Space group   No. 123
ΔE_f   25 meV per atom


2.
Computed, not measured: an optimized crystal structure of TlCdPCl2 at the PBE level of DFT.

a b c (Å): 5.4024 5.4024 5.3826
angles (deg): 90.00 90.00 90.00
With the nearest neighbours (Å) after each atom.
Element x y z (fractional)
P 0.0000 0.0000 0.5000  2 Tl 2.69
Tl 0.0000 0.0000 0.0000  2 P 2.69, 4 Cl 2.70
Cl 0.0000 0.5000 0.0000  2 Tl 2.70
Cl 0.5000 0.0000 0.0000  2 Tl 2.70
Cd 0.5000 0.5000 0.5000  8 Cl 3.81, 4 P 3.82

Output
ΔE to the lowest computed polymorph   394 meV per atom
E   -2.301 eV/atom
ΔE_f (raw)   0.18 eV per atom
Space group   No. 123


3.
Computed, not measured: an optimized crystal structure of Ca2La15Th2 at the PBE level of DFT.

a b c (Å): 9.0507 9.0507 9.0507
angles (deg): 81.07 81.07 81.07
With the nearest neighbours (Å) after each atom.
Element x y z (fractional)
Ca 0.6706 0.6706 0.6706  15 La 4.20-4.48, 1 Th 4.34
Ca 0.3294 0.3294 0.3294  15 La 4.20-4.48, 1 Th 4.34
La 0.0000 0.5000 0.0000  8 La 3.44-3.47, 2 Th 3.68
La 0.0000 0.0000 0.5000  8 La 3.44-3.47, 2 Th 3.68
La 0.5000 0.0000 0.0000  8 La 3.44-3.47, 2 Th 3.68
La 0.2902 0.0000 0.7098  6 La 3.41-3.56, 2 Th 3.76
La 0.7098 0.2902 0.0000  6 La 3.41-3.56, 2 Th 3.76
La 0.0000 0.7098 0.2902  6 La 3.41-3.56, 2 Th 3.76
La 0.2902 0.7098 0.0000  6 La 3.41-3.56, 2 Th 3.76
La 0.0000 0.2902 0.7098  6 La 3.41-3.56, 2 Th 3.76
La 0.7098 0.0000 0.2902  6 La 3.41-3.56, 2 Th 3.76
La 0.3590 0.8523 0.3590  8 La 3.44-3.85
La 0.3590 0.3590 0.8523  8 La 3.44-3.85
La 0.8523 0.3590 0.3590  8 La 3.44-3.85
La 0.6410 0.1477 0.6410  8 La 3.44-3.85
La 0.6410 0.6410 0.1477  8 La 3.44-3.85
La 0.1477 0.6410 0.6410  8 La 3.44-3.85
Th 0.9126 0.9126 0.9126  1 Th 3.14
Th 0.0874 0.0874 0.0874  1 Th 3.14

Output
E   -4.680 eV/atom
Space group   No. 166
ΔE_f   202 meV per atom


4.
Computed, not measured: an optimized crystal structure of LaGdZnCu at the PBE level of DFT.

a b c (Å): 5.1523 5.1523 5.1523
angles (deg): 60.00 60.00 60.00
With the nearest neighbours (Å) after each atom.
Element x y z (fractional)
Zn 0.7500 0.7500 0.7500  4 Gd 3.16, 4 La 3.16
Gd 0.0000 0.0000 0.0000  4 Cu 3.16, 4 Zn 3.16
Cu 0.2500 0.2500 0.2500  4 La 3.16, 4 Gd 3.16
La 0.5000 0.5000 0.5000  4 Zn 3.16, 4 Cu 3.16

Output
E   -6.326 eV/atom
Space group   No. 216
ΔE_f   -231 meV per atom


5.
Computed, not measured: an optimized crystal structure of K3Ni5I12 at the PBE level of DFT.

a b c (Å): 15.3269 15.3269 15.3269
angles (deg): 109.47 109.47 109.47
With the nearest neighbours (Å) after each atom.
Element x y z (fractional)
K 0.7500 0.3750 0.1250  8 I 3.49-3.68
K 0.8750 0.7500 0.1250  8 I 3.49-3.68
K 0.3750 0.7500 0.6250  8 I 3.49-3.68
K 0.2500 0.1250 0.3750  8 I 3.49-3.68
K 0.8750 0.1250 0.2500  8 I 3.49-3.68
K 0.3750 0.6250 0.2500  8 I 3.49-3.68
K 0.6250 0.3750 0.7500  8 I 3.49-3.68
K 0.1250 0.8750 0.7500  8 I 3.49-3.68
K 0.7500 0.8750 0.6250  8 I 3.49-3.68
K 0.6250 0.2500 0.3750  8 I 3.49-3.68
K 0.1250 0.2500 0.8750  8 I 3.49-3.68
K 0.2500 0.6250 0.8750  8 I 3.49-3.68
Ni 0.1250 0.3750 0.2500  4 I 2.57
Ni 0.0000 0.5000 0.0000  6 I 2.76
Ni 0.0000 0.0000 0.0000  6 I 2.76
Ni 0.3750 0.2500 0.1250  4 I 2.57
Ni 0.5000 0.0000 0.5000  6 I 2.76
Ni 0.5000 0.5000 0.0000  6 I 2.76
Ni 0.1250 0.7500 0.3750  4 I 2.57
Ni 0.7500 0.1250 0.8750  4 I 2.57
Ni 0.7500 0.6250 0.3750  4 I 2.57
Ni 0.3750 0.1250 0.7500  4 I 2.57
Ni 0.6250 0.8750 0.2500  4 I 2.57
Ni 0.5000 0.5000 0.5000  6 I 2.76
Ni 0.5000 0.0000 0.0000  6 I 2.76
Ni 0.0000 0.0000 0.5000  6 I 2.76
Ni 0.2500 0.3750 0.6250  4 I 2.57
Ni 0.2500 0.8750 0.1250  4 I 2.57
Ni 0.0000 0.5000 0.5000  6 I 2.76
Ni 0.8750 0.2500 0.6250  4 I 2.57
Ni 0.6250 0.7500 0.8750  4 I 2.57
Ni 0.8750 0.6250 0.7500  4 I 2.57
I 0.6907 0.1093 0.0103  2 Ni 2.57-2.76
I 0.3195 0.5103 0.4009  2 Ni 2.57-2.76
I 0.9897 0.3907 0.3093  2 Ni 2.57-2.76
I 0.5103 0.1907 0.1093  2 Ni 2.57-2.76
I 0.5814 0.6907 0.6805  2 Ni 2.57-2.76
I 0.9897 0.5991 0.1805  2 Ni 2.57-2.76
I 0.3195 0.8093 0.4186  2 Ni 2.57-2.76
I 0.0991 0.9186 0.1093  2 Ni 2.57-2.76
I 0.5991 0.9897 0.6805  2 Ni 2.57-2.76
I 0.6907 0.5814 0.1805  2 Ni 2.57-2.76
I 0.8093 0.4897 0.3907  2 Ni 2.57-2.76
I 0.8195 0.9009 0.0103  2 Ni 2.57-2.76
I 0.1093 0.6907 0.5103  2 Ni 2.57-2.76
I 0.3907 0.4009 0.0814  2 Ni 2.57-2.76
I 0.0814 0.9009 0.3907  2 Ni 2.57-2.76
I 0.4186 0.1093 0.5991  2 Ni 2.57-2.76
I 0.0814 0.1805 0.1907  2 Ni 2.57-2.76
I 0.4897 0.6805 0.0991  2 Ni 2.57-2.76
I 0.8195 0.9186 0.3093  2 Ni 2.57-2.76
I 0.1093 0.4186 0.0991  2 Ni 2.57-2.76
I 0.3907 0.9897 0.8093  2 Ni 2.57-2.76
I 0.5991 0.6093 0.4186  2 Ni 2.57-2.76
I 0.9009 0.8195 0.5103  2 Ni 2.57-2.76
I 0.8093 0.3195 0.9186  2 Ni 2.57-2.76
I 0.4009 0.3907 0.5814  2 Ni 2.57-2.76
I 0.0991 0.1805 0.4897  2 Ni 2.57-2.76
I 0.1907 0.6805 0.0814  2 Ni 2.57-2.76
I 0.1805 0.0814 0.6907  2 Ni 2.57-2.76
I 0.6093 0.0103 0.1907  2 Ni 2.57-2.76
I 0.8907 0.5814 0.9009  2 Ni 2.57-2.76
I 0.5103 0.3195 0.9009  2 Ni 2.57-2.76
I 0.5814 0.8907 0.4009  2 Ni 2.57-2.76
I 0.9186 0.8195 0.8093  2 Ni 2.57-2.76
I 0.9186 0.0991 0.6093  2 Ni 2.57-2.76
I 0.8907 0.3093 0.4897  2 Ni 2.57-2.76
I 0.1805 0.0991 0.9897  2 Ni 2.57-2.76
I 0.6093 0.5991 0.9186  2 Ni 2.57-2.76
I 0.4009 0.0103 0.3195  2 Ni 2.57-2.76
I 0.3093 0.4186 0.8195  2 Ni 2.57-2.76
I 0.1907 0.5103 0.6093  2 Ni 2.57-2.76
I 0.9009 0.0814 0.8907  2 Ni 2.57-2.76
I 0.6805 0.1907 0.5814  2 Ni 2.57-2.76
I 0.4897 0.8093 0.8907  2 Ni 2.57-2.76
I 0.0103 0.4009 0.8195  2 Ni 2.57-2.76
I 0.4186 0.3093 0.3195  2 Ni 2.57-2.76
I 0.0103 0.6093 0.6907  2 Ni 2.57-2.76
I 0.6805 0.4897 0.5991  2 Ni 2.57-2.76
I 0.3093 0.8907 0.9897  2 Ni 2.57-2.76

Output
E   -2.953 eV/atom
ΔE_f (raw)   -0.41 eV per atom
Space group   No. 230


6.
Computed, not measured: an optimized crystal structure of KAg2Ir at the PBE level of DFT.

a b c (Å): 5.3709 5.3709 9.7487
angles (deg): 74.01 74.01 90.00
With the nearest neighbours (Å) after each atom.
Element x y z (fractional)
K 0.5000 0.5000 0.0000  8 Ag 3.74-3.75, 4 Ir 3.80
K 0.2500 0.7500 0.5000  8 Ag 3.74-3.75, 4 Ir 3.80
Ir 0.0000 0.0000 0.0000  4 Ag 2.62
Ir 0.7500 0.2500 0.5000  4 Ag 2.62
Ag 0.8735 0.1250 0.2500  2 Ir 2.62, 2 Ag 2.69
Ag 0.8765 0.6250 0.2500  2 Ir 2.62, 2 Ag 2.69
Ag 0.3750 0.1265 0.7500  2 Ir 2.62, 2 Ag 2.69
Ag 0.8750 0.1235 0.7500  2 Ir 2.62, 2 Ag 2.69

Output
ΔE to the lowest computed polymorph   338 meV per atom
E   -3.105 eV/atom
Space group   No. 122
ΔE_f   810 meV per atom


7.
Computed, not measured: an optimized crystal structure of CeCo2TcN4 at the PBE level of DFT.

a b c (Å): 4.9707 4.9707 4.9707
angles (deg): 94.69 117.33 117.33
With the nearest neighbours (Å) after each atom.
Element x y z (fractional)
Ce 0.0000 0.0000 0.0000  8 N 2.55
Co 0.5000 0.7500 0.2500  4 N 1.92
Co 0.5000 0.2500 0.7500  4 N 1.92
Tc 0.0000 0.5000 0.5000  4 N 1.91
N 0.0000 0.1158 0.5103  1 Tc 1.91, 2 Co 1.92
N 0.6056 0.4897 0.4897  1 Tc 1.91, 2 Co 1.92
N 0.3944 0.8842 0.8842  1 Tc 1.91, 2 Co 1.92
N 0.0000 0.5103 0.1158  1 Tc 1.91, 2 Co 1.92

Output
E   -8.388 eV/atom
ΔE_f (raw)   -0.41 eV per atom
Space group   No. 121


8.
Computed, not measured: an optimized crystal structure of Sr2Mg4TlPb3 at the PBE level of DFT.

a b c (Å): 4.8704 4.8704 12.5118
angles (deg): 90.00 90.00 90.00
With the nearest neighbours (Å) after each atom.
Element x y z (fractional)
Sr 0.5000 0.0000 0.2524  8 Mg 3.72-3.99, 6 Pb 3.73-3.94, 2 Tl 3.94
Sr 0.0000 0.5000 0.7476  8 Mg 3.72-3.99, 6 Pb 3.73-3.94, 2 Tl 3.94
Mg 0.5000 0.5000 0.0000  4 Pb 2.99
Mg 0.0000 0.0000 0.0000  4 Pb 2.99
Mg 0.5000 0.0000 0.6347  3 Pb 2.83-2.96, 2 Tl 2.96
Mg 0.0000 0.5000 0.3653  3 Pb 2.83-2.96, 2 Tl 2.96
Tl 0.5000 0.5000 0.5000  4 Mg 2.96
Pb 0.0000 0.0000 0.5000  4 Mg 2.96
Pb 0.5000 0.0000 0.8612  5 Mg 2.83-2.99
Pb 0.0000 0.5000 0.1388  5 Mg 2.83-2.99

Output
E   -2.613 eV/atom
Space group   No. 115
ΔE_f   -290 meV per atom


Copy entry 7 word for word.
Computed, not measured: an optimized crystal structure of CeCo2TcN4 at the PBE level of DFT.

a b c (Å): 4.9707 4.9707 4.9707
angles (deg): 94.69 117.33 117.33
With the nearest neighbours (Å) after each atom.
Element x y z (fractional)
Ce 0.0000 0.0000 0.0000  8 N 2.55
Co 0.5000 0.7500 0.2500  4 N 1.92
Co 0.5000 0.2500 0.7500  4 N 1.92
Tc 0.0000 0.5000 0.5000  4 N 1.91
N 0.0000 0.1158 0.5103  1 Tc 1.91, 2 Co 1.92
N 0.6056 0.4897 0.4897  1 Tc 1.91, 2 Co 1.92
N 0.3944 0.8842 0.8842  1 Tc 1.91, 2 Co 1.92
N 0.0000 0.5103 0.1158  1 Tc 1.91, 2 Co 1.92

Output
E   -8.388 eV/atom
ΔE_f (raw)   -0.41 eV per atom
Space group   No. 121